{"formula": "AcCe3Ir8", "functional": "GGA-PBE", "state": "relaxed", "lattice_angstrom": [[5.4424, 0.0000, 0.0000], [-2.7212, 4.7133, 0.0000], [0.0000, 0.0000, 8.8887]], "species": ["Ac", "Ce", "Ce", "Ce", "Ir", "Ir", "Ir", "Ir", "Ir", "Ir", "Ir", "Ir"], "frac_coords": [[0.0000, 0.0000, 0.5675], [0.6667, 0.3333, 0.4219], [0.6667, 0.3333, 0.0703], [0.0000, 0.0000, 0.9337], [0.3333, 0.6667, 0.5004], [0.3333, 0.6667, 0.9997], [0.5027, 0.0053, 0.7574], [0.5027, 0.4973, 0.7574], [0.9947, 0.4973, 0.7574], [0.1655, 0.3310, 0.2448], [0.1655, 0.8345, 0.2448], [0.6690, 0.8345, 0.2448]], "e_form_kcal_per_mol_atoms": -15.25, "e_tot_ev_per_atom": -8.394}